Record 1
Compound: VIn3Tc
Source: the Alexandria database
Functional: PBE
Structure: relaxed

Geometry as POSCAR:
```
VIn3Tc
1.0
-2.861 -4.054 1.153
3.919 -2.047 2.530
-1.550 2.308 4.269
In Tc V
3 1 1
Direct
0.500 0.000 0.000
0.000 0.500 0.000
0.000 0.000 0.500
0.500 0.500 0.500
0.000 0.000 0.000
```

Output
N(E_F) = 3.55 states/eV per cell
Calculated formation energy = 1.2429 eV/atom
Distance to the lowest polymorph of the same formula = 396 meV per atom
Calculated density = 6.2 Mg/m³
Space group = Pm-3m

---

Record 2
Compound: DySbIr
Source: the Alexandria database
Functional: PBE
Structure: relaxed

Geometry as POSCAR:
```
DySbIr
1.0
4.520 0.000 0.000
0.000 7.928 0.000
0.000 0.000 7.186
Sb Dy Ir
4 4 4
Direct
0.250 0.412 0.678
0.750 0.912 0.822
0.250 0.088 0.178
0.750 0.588 0.322
0.250 0.808 0.511
0.750 0.308 0.989
0.250 0.692 0.011
0.750 0.192 0.489
0.750 0.912 0.209
0.750 0.588 0.709
0.250 0.412 0.291
0.250 0.088 0.791
```

Output
N(E_F) = 6.19 states/eV per cell
Uncorrected formation energy = -0.894 eV per atom
Calculated density = 12.3 Mg/m³
Space group = Pnma

---

Record 3
Compound: Hf2ZrCd
Source: the Alexandria database
Functional: PBE
Structure: relaxed

Geometry as POSCAR:
```
Hf2ZrCd
1.0
-2.650 0.986 -3.413
-3.205 -2.501 1.766
-1.533 3.524 2.209
Hf Zr Cd
2 1 1
Direct
0.000 0.000 0.500
0.000 0.500 0.000
0.500 0.500 0.500
0.500 0.000 0.000
```

Output
N(E_F) = 4.24 states/eV per cell
Calculated formation energy = -0.0192 eV/atom
Calculated density = 10.7 Mg/m³
Space group = P4/mmm

---

Record 4
Compound: Pr2Nd7Er2
Source: the Alexandria database
Functional: PBE
Structure: relaxed

Geometry as POSCAR:
```
Pr2Nd7Er2
1.0
8.210 0.969 1.398
0.168 6.993 0.380
0.168 -2.100 6.681
Nd Er Pr
7 2 2
Direct
0.518 0.196 0.196
0.830 0.907 0.488
0.000 0.000 0.000
0.170 0.093 0.512
0.170 0.512 0.093
0.482 0.804 0.804
0.830 0.488 0.907
0.500 0.715 0.285
0.500 0.285 0.715
0.818 0.420 0.420
0.182 0.580 0.580
```

Output
N(E_F) = 17.53 states/eV per cell
Calculated formation energy = 0.1347 eV/atom
Distance to the lowest polymorph of the same formula = 16 meV per atom
Calculated density = 7.0 Mg/m³
Space group = C2/m

---

Record 5
Compound: Zn2Sn2Hg
Source: the Alexandria database
Functional: PBE
Structure: relaxed

Geometry as POSCAR:
```
Zn2Sn2Hg
1.0
-1.618 3.398 -2.100
-3.801 -0.613 1.938
-0.842 5.313 4.822
Hg Sn Zn
1 2 2
Direct
0.000 0.000 0.000
0.386 0.386 0.227
0.614 0.614 0.773
0.250 0.750 0.500
0.750 0.250 0.500
```

Output
N(E_F) = 2.05 states/eV per cell
Calculated formation energy = 0.1365 eV/atom
Distance to the lowest polymorph of the same formula = 34 meV per atom
Calculated density = 7.8 Mg/m³
Space group = I4/mmm

---

Record 6
Compound: FeCoHRh2
Source: the Alexandria database
Functional: PBE
Structure: relaxed

Geometry as POSCAR:
```
FeCoHRh2
1.0
-1.952 2.388 -2.287
-3.095 -2.253 0.289
-1.121 1.920 2.961
Rh Fe Co H
2 1 1 1
Direct
0.500 0.000 0.000
0.000 0.500 0.000
0.500 0.500 0.500
0.000 0.000 0.500
0.000 0.000 0.000
```

Output
N(E_F) = 5.68 states/eV per cell
Distance to the lowest polymorph of the same formula = 0 meV per atom
Calculated density = 9.8 Mg/m³
Space group = P4/mmm

---

Record 7
Compound: KBe2Pb
Source: the Alexandria database
Functional: PBE
Structure: relaxed

Geometry as POSCAR:
```
KBe2Pb
1.0
3.233 0.000 0.000
0.000 3.233 0.000
0.000 0.000 8.162
Be K Pb
2 1 1
Direct
0.000 0.000 0.088
0.500 0.500 0.134
0.000 0.000 0.462
0.500 0.500 0.816
```

Output
N(E_F) = 3.20 states/eV per cell
Calculated formation energy = 0.5668 eV/atom
Calculated density = 5.1 Mg/m³
Space group = P4mm

---

Record 8
Compound: UGa2Tc
Source: the Alexandria database
Functional: PBE
Structure: relaxed

Geometry as POSCAR:
```
UGa2Tc
1.0
3.218 0.000 0.000
0.000 3.218 0.000
0.000 0.000 6.788
Ga Tc U
2 1 1
Direct
0.000 0.000 0.803
0.000 0.000 0.197
0.500 0.500 0.000
0.500 0.500 0.500
```

Output
N(E_F) = 6.10 states/eV per cell
Calculated formation energy = -0.0784 eV/atom
Distance to the lowest polymorph of the same formula = 203 meV per atom
Calculated density = 11.2 Mg/m³
Space group = P4/mmm

---

Record 9
Compound: ScBrN2
Source: the Alexandria database
Functional: PBE
Structure: relaxed

Geometry as POSCAR:
```
ScBrN2
1.0
0.228 1.905 3.684
-3.360 0.225 2.433
-0.180 -2.225 3.504
Br N Sc
1 2 1
Direct
0.500 0.500 0.500
0.750 0.750 0.750
0.250 0.250 0.250
0.000 0.000 0.000
```

Output
N(E_F) = 4.88 states/eV per cell
Uncorrected formation energy = 1.127 eV per atom
Distance to the lowest polymorph of the same formula = 1061 meV per atom
Calculated density = 5.0 Mg/m³
Space group = Fm-3m

---

Record 10
Compound: Tb7Ho3Tl2
Source: the Alexandria database
Functional: PBE
Structure: relaxed

Geometry as POSCAR:
```
Tb7Ho3Tl2
1.0
3.611 0.000 0.000
0.000 5.605 0.236
0.000 -1.991 18.315
Tb Ho Tl
7 3 2
Direct
0.500 0.834 0.828
0.000 0.336 0.852
0.500 0.259 0.540
0.500 0.166 0.172
0.000 0.000 0.000
0.000 0.664 0.148
0.500 0.741 0.460
0.000 0.778 0.633
0.000 0.222 0.367
0.500 0.500 0.000
0.500 0.701 0.293
0.500 0.299 0.707
```

Output
N(E_F) = 12.16 states/eV per cell
Calculated formation energy = -0.0154 eV/atom
Calculated density = 9.0 Mg/m³
Space group = P2/m

---

Record 11
Compound: Pm5BN6
Source: the Alexandria database
Functional: PBE
Structure: relaxed

Geometry as POSCAR:
```
Pm5BN6
1.0
-1.707 6.066 0.082
-5.507 -0.590 2.078
-0.861 0.168 6.185
Pm N B
5 6 1
Direct
0.000 0.662 0.676
0.500 0.500 0.000
0.500 0.826 0.347
0.000 0.338 0.324
0.500 0.174 0.653
0.298 0.513 0.347
0.881 0.819 0.000
0.119 0.181 0.000
0.702 0.140 0.347
0.702 0.487 0.653
0.298 0.860 0.653
0.000 0.000 0.000
```

Output
Uncorrected formation energy = -0.932 eV per atom
Calculated density = 6.7 Mg/m³
Space group = C2/m

---

Record 12
Compound: SrTlTe2
Source: the Alexandria database
Functional: PBE
Structure: relaxed

Geometry as POSCAR:
```
SrTlTe2
1.0
4.352 0.000 0.000
0.000 4.350 0.021
0.000 4.320 7.067
Te Tl Sr
2 1 1
Direct
0.000 0.491 0.509
0.000 0.009 0.991
0.500 0.250 0.250
0.500 0.750 0.750
```

Output
N(E_F) = 1.51 states/eV per cell
Uncorrected formation energy = -0.854 eV per atom
Calculated density = 6.8 Mg/m³
Space group = P4/mmm